Entry 1:
An optimized crystal structure of MgMn2OsCl. Source: the Alexandria database, functional PBE-GGA.

M_tot = 9.91 μB per cell
Formation energy from raw total energies = 825 kJ/mol of formula units
Space-group type = P4/mmm
Uncorrected energy = -4.892 eV per atom

Unit cell a=4.915 b=4.330 c=4.915 alpha=90.00 beta=90.00 gamma=90.00
Site moments in Bohr magnetons follow the coordinates.
Atoms (fractional coordinates):
Cl1 0.000 0.500 0.000  0.10
Mg1 0.000 0.000 0.000  -0.04
Mn1 0.500 0.000 0.000  3.84
Mn2 0.000 0.000 0.500  3.78
Os1 0.500 0.500 0.500  1.61

Entry 2:
An optimized crystal structure of MgMnPCl2. Source: the Alexandria database, functional PBE-GGA.

M_tot = 4.01 μB per cell
Formation energy from raw total energies = -71 kJ/mol of formula units
Space-group type = P4/mmm
ΔE to the lowest computed polymorph = 0 meV per atom
Uncorrected energy = -4.121 eV per atom

Unit cell a=4.601 b=4.601 c=5.651 alpha=90.00 beta=90.00 gamma=90.00
Site moments in Bohr magnetons follow the coordinates.
Atoms (fractional coordinates):
Cl1 0.000 0.500 0.000  -0.02
Cl2 0.500 0.000 0.000  -0.02
P1 0.000 0.000 0.500  -0.39
Mg1 0.000 0.000 0.000  0.00
Mn1 0.500 0.500 0.500  4.52

Entry 3:
An optimized crystal structure of MgMnP2Cl. Source: the Alexandria database, functional PBE-GGA.

M_tot = 3.98 μB per cell
Formation energy from raw total energies = 266 kJ/mol of formula units
Space-group type = P4/mmm
ΔE to the lowest computed polymorph = 517 meV per atom
Uncorrected energy = -4.136 eV per atom

Unit cell a=4.863 b=4.863 c=4.789 alpha=90.00 beta=90.00 gamma=90.00
Site moments in Bohr magnetons follow the coordinates.
Atoms (fractional coordinates):
P1 0.500 0.000 0.000  -0.19
P2 0.000 0.500 0.000  -0.19
Mg1 0.000 0.000 0.000  0.01
Mn1 0.500 0.500 0.500  4.46
Cl1 0.000 0.000 0.500  -0.05

Entry 4:
An optimized crystal structure of MgMnP2Cl. Source: the Alexandria database, functional PBE-GGA.

M_tot = 0.40 μB per cell
Formation energy from raw total energies = 16 kJ/mol of formula units
Space-group type = P4/mmm
ΔE to the lowest computed polymorph = 0 meV per atom
Uncorrected energy = -4.652 eV per atom

Unit cell a=4.285 b=4.285 c=5.261 alpha=90.00 beta=90.00 gamma=90.00
Site moments in Bohr magnetons follow the coordinates.
Atoms (fractional coordinates):
Mn1 0.000 0.000 0.000  0.48
Cl1 0.000 0.000 0.500  0.00
Mg1 0.500 0.500 0.500  -0.01
P1 0.000 0.500 0.000  -0.03
P2 0.500 0.000 0.000  -0.03

Entry 5:
An optimized crystal structure of MgMnPCl2. Source: the Alexandria database, functional PBE-GGA.

M_tot = 0.36 μB per cell
Formation energy from raw total energies = -31 kJ/mol of formula units
Space-group type = P4/mmm
ΔE to the lowest computed polymorph = 83 meV per atom
Uncorrected energy = -4.038 eV per atom

Unit cell a=4.751 b=4.751 c=4.438 alpha=90.00 beta=90.00 gamma=90.00
Site moments in Bohr magnetons follow the coordinates.
Atoms (fractional coordinates):
Cl1 0.500 0.000 0.000  0.02
Cl2 0.000 0.500 0.000  0.02
Mn1 0.000 0.000 0.000  -0.43
Mg1 0.500 0.500 0.500  -0.02
P1 0.000 0.000 0.500  0.07

Entry 6:
An optimized crystal structure of RbMgMnCl6. Source: the Alexandria database, functional PBE-GGA.

M_tot = 4.00 μB per cell
Formation energy from raw total energies = -1302 kJ/mol of formula units
Space-group type = C2
Uncorrected energy = -4.033 eV per atom

Unit cell a=6.657 b=6.356 c=7.410 alpha=88.76 beta=87.63 gamma=58.42
Site moments in Bohr magnetons follow the coordinates.
Atoms (fractional coordinates):
Cl1 0.362 0.622 0.324  -0.01
Cl2 0.002 0.374 0.293  0.05
Cl3 0.624 0.374 0.706  0.05
Cl4 0.369 0.019 0.686  -0.02
Cl5 0.016 0.622 0.676  -0.01
Cl6 0.612 0.019 0.314  -0.02
Mn1 0.334 0.332 0.500  3.67
Rb1 0.003 0.993 0.000  0.00
Mg1 0.678 0.643 0.500  0.00

Entry 7:
An optimized crystal structure of RbMg2MnCl8. Source: the Alexandria database, functional PBE-GGA.

M_tot = 4.00 μB per cell
Formation energy from raw total energies = -1736 kJ/mol of formula units
Space-group type = P-1
Uncorrected energy = -3.841 eV per atom

Unit cell a=6.420 b=6.237 c=8.966 alpha=78.38 beta=74.06 gamma=75.42
Site moments in Bohr magnetons follow the coordinates.
Atoms (fractional coordinates):
Cl1 0.658 0.675 0.479  0.00
Cl2 0.252 0.822 0.795  -0.01
Cl3 0.777 0.754 0.033  0.00
Cl4 0.216 0.724 0.204  0.04
Cl5 0.748 0.178 0.205  -0.01
Cl6 0.223 0.246 0.967  0.00
Cl7 0.342 0.325 0.521  0.00
Cl8 0.784 0.276 0.796  0.04
Mg1 0.448 0.446 0.720  0.00
Mg2 0.552 0.554 0.280  0.00
Mn1 0.000 0.000 0.000  3.69
Rb1 0.000 0.000 0.500  0.00

Entry 8:
An optimized crystal structure of RbMgMn2Cl8. Source: the Alexandria database, functional PBE-GGA.

M_tot = 9.00 μB per cell
Formation energy from raw total energies = -1549 kJ/mol of formula units
Space-group type = P-3
Uncorrected energy = -4.311 eV per atom

Unit cell a=6.557 b=6.557 c=9.159 alpha=90.00 beta=90.00 gamma=120.00
Site moments in Bohr magnetons follow the coordinates.
Atoms (fractional coordinates):
Cl1 0.667 0.333 0.034  0.03
Cl2 0.688 0.690 0.664  0.04
Cl3 0.310 0.998 0.664  0.04
Cl4 0.002 0.312 0.664  0.04
Cl5 0.333 0.667 0.966  0.03
Cl6 0.998 0.688 0.336  0.04
Cl7 0.312 0.310 0.336  0.04
Cl8 0.690 0.002 0.336  0.04
Mn1 0.333 0.667 0.724  3.97
Mn2 0.667 0.333 0.276  3.97
Mg1 0.000 0.000 0.500  0.01
Rb1 0.000 0.000 0.000  0.00

- Look up the uncorrected energy of the seventh one.
  -3.841 eV per atom

- Which formula does entry 6 have?
  RbMgMnCl6

Repeat the sixth record exactly.
An optimized crystal structure of RbMgMnCl6. Source: the Alexandria database, functional PBE-GGA.

M_tot = 4.00 μB per cell
Formation energy from raw total energies = -1302 kJ/mol of formula units
Space-group type = C2
Uncorrected energy = -4.033 eV per atom

Unit cell a=6.657 b=6.356 c=7.410 alpha=88.76 beta=87.63 gamma=58.42
Site moments in Bohr magnetons follow the coordinates.
Atoms (fractional coordinates):
Cl1 0.362 0.622 0.324  -0.01
Cl2 0.002 0.374 0.293  0.05
Cl3 0.624 0.374 0.706  0.05
Cl4 0.369 0.019 0.686  -0.02
Cl5 0.016 0.622 0.676  -0.01
Cl6 0.612 0.019 0.314  -0.02
Mn1 0.334 0.332 0.500  3.67
Rb1 0.003 0.993 0.000  0.00
Mg1 0.678 0.643 0.500  0.00

- Which of these has the highest M_tot?
  MgMn2OsCl